1.
## Ce2DyAl (PBE)

Data for a relaxed structure of Ce2DyAl.

Cell and atoms, written as CIF:
```
data_Ce2DyAl
_chemical_formula_sum 'Ce2 Dy1 Al1'
_space_group_name_H-M_alt 'P 1'
_space_group_IT_number 1
_cell_length_a 5.352
_cell_length_b 5.352
_cell_length_c 5.352
_cell_angle_alpha 60.00
_cell_angle_beta 60.00
_cell_angle_gamma 60.00
loop_
_space_group_symop_operation_xyz
'x,y,z'
loop_
_atom_site_label
_atom_site_type_symbol
_atom_site_fract_x
_atom_site_fract_y
_atom_site_fract_z
_atom_site_occupancy
Al1 Al 0.500 0.500 0.500 1
Ce1 Ce 0.250 0.250 0.250 1
Ce2 Ce 0.750 0.750 0.750 1
Dy1 Dy 0.000 0.000 0.000 1
```

## Properties
Magnetic moment ... 0.49 μB per atom
N(E_F) ... 12.44 states/eV/f.u.
Distance to the lowest polymorph of the same formula ... 0.210 eV/atom
Raw total energy ... -5.025 eV per atom



2.
## Ta2AsH (PBE)

Data for a relaxed structure of Ta2AsH.

Cell and atoms, written as CIF:
```
data_Ta2AsH
_chemical_formula_sum 'Ta2 As1 H1'
_space_group_name_H-M_alt 'P 1'
_space_group_IT_number 1
_cell_length_a 4.335
_cell_length_b 4.335
_cell_length_c 4.335
_cell_angle_alpha 60.00
_cell_angle_beta 60.00
_cell_angle_gamma 60.00
loop_
_space_group_symop_operation_xyz
'x,y,z'
loop_
_atom_site_label
_atom_site_type_symbol
_atom_site_fract_x
_atom_site_fract_y
_atom_site_fract_z
_atom_site_occupancy
H1 H 0.000 0.000 0.000 1
As1 As 0.500 0.500 0.500 1
Ta1 Ta 0.250 0.250 0.250 1
Ta2 Ta 0.750 0.750 0.750 1
```

## Properties
Magnetic moment ... 0.00 μB per atom
N(E_F) ... 2.99 states/eV/f.u.
Distance to the lowest polymorph of the same formula ... 0.479 eV/atom
Raw total energy ... -7.565 eV per atom



3.
## AgHg3Pd5 (PBE)

Data for a relaxed structure of AgHg3Pd5.

Cell and atoms, written as CIF:
```
data_AgHg3Pd5
_chemical_formula_sum 'Ag2 Hg6 Pd10'
_space_group_name_H-M_alt 'P 1'
_space_group_IT_number 1
_cell_length_a 5.578
_cell_length_b 8.129
_cell_length_c 8.129
_cell_angle_alpha 120.00
_cell_angle_beta 90.00
_cell_angle_gamma 90.00
loop_
_space_group_symop_operation_xyz
'x,y,z'
loop_
_atom_site_label
_atom_site_type_symbol
_atom_site_fract_x
_atom_site_fract_y
_atom_site_fract_z
_atom_site_occupancy
Ag1 Ag 0.000 0.000 0.000 1
Ag2 Ag 0.500 0.000 0.000 1
Hg1 Hg 0.750 0.351 0.351 1
Hg2 Hg 0.750 0.000 0.649 1
Hg3 Hg 0.750 0.649 0.000 1
Hg4 Hg 0.250 0.649 0.649 1
Hg5 Hg 0.250 0.000 0.351 1
Hg6 Hg 0.250 0.351 0.000 1
Pd1 Pd 0.000 0.667 0.333 1
Pd2 Pd 0.500 0.333 0.667 1
Pd3 Pd 0.000 0.333 0.667 1
Pd4 Pd 0.500 0.667 0.333 1
Pd5 Pd 0.750 0.683 0.683 1
Pd6 Pd 0.750 0.000 0.317 1
Pd7 Pd 0.750 0.317 0.000 1
Pd8 Pd 0.250 0.317 0.317 1
Pd9 Pd 0.250 0.000 0.683 1
Pd10 Pd 0.250 0.683 0.000 1
```

## Properties
Magnetic moment ... 0.00 μB per atom
N(E_F) ... 3.18 states/eV/f.u.
Distance to the lowest polymorph of the same formula ... 0.000 eV/atom
Raw total energy ... -3.414 eV per atom